The following is a PBE calculation of a relaxed structure of SrPu2Ge6, from Alexandria.

- DFT formation energy (meV per atom) = -325
- SG = P6/mmm (191)
- final energy (eV per atom) = -6.775

POSCAR file:
```
SrPu2Ge6
1.0
4.075 0.000 0.000
0.000 6.611 -3.817
0.000 0.000 7.634
Ge Pu Sr
6 2 1
Direct
0.500 0.338 0.338 Ge
0.500 0.000 0.662 Ge
0.500 0.662 0.000 Ge
0.500 0.000 0.338 Ge
0.500 0.338 0.000 Ge
0.500 0.662 0.662 Ge
0.000 0.333 0.667 Pu
0.000 0.667 0.333 Pu
0.000 0.000 0.000 Sr
```



The following is a PBE calculation of a relaxed structure of SrPuGe2, from Alexandria.

- DFT formation energy (meV per atom) = -396
- SG = P4/mmm (123)
- final energy (eV per atom) = -6.708

POSCAR file:
```
SrPuGe2
1.0
-3.205 -0.472 0.944
0.317 -3.310 -0.577
2.566 -1.171 8.130
Ge Sr Pu
2 1 1
Direct
0.000 0.000 0.765 Ge
0.000 0.000 0.235 Ge
0.500 0.500 0.500 Sr
0.500 0.500 0.000 Pu
```



The following is a PBE calculation of a relaxed structure of SrPuGe2, from Alexandria.

- DFT formation energy (meV per atom) = -270
- SG = R-3m (166)
- final energy (eV per atom) = -6.582

POSCAR file:
```
SrPuGe2
1.0
-4.554 -1.427 -0.638
-0.987 -3.628 -3.008
-1.303 -5.280 2.943
Ge Pu Sr
2 1 1
Direct
0.727 0.727 0.818 Ge
0.273 0.273 0.182 Ge
0.000 0.000 0.000 Pu
0.500 0.500 0.500 Sr
```



The following is a PBE calculation of a relaxed structure of SrPuTlGe, from Alexandria.

- DFT formation energy (meV per atom) = -192
- SG = F-43m (216)
- final energy (eV per atom) = -5.942

POSCAR file:
```
SrPuTlGe
1.0
-4.269 1.598 -2.978
-2.645 -3.597 -3.115
-5.022 -1.605 1.360
Sr Pu Tl Ge
1 1 1 1
Direct
0.250 0.250 0.250 Sr
0.750 0.750 0.750 Pu
0.000 0.000 0.000 Tl
0.500 0.500 0.500 Ge
```



- Among the records above, which one has the highest DFT formation energy?
  SrPuTlGe



Repeat the first record exactly.
The following is a PBE calculation of a relaxed structure of SrPu2Ge6, from Alexandria.

- DFT formation energy (meV per atom) = -325
- SG = P6/mmm (191)
- final energy (eV per atom) = -6.775

POSCAR file:
```
SrPu2Ge6
1.0
4.075 0.000 0.000
0.000 6.611 -3.817
0.000 0.000 7.634
Ge Pu Sr
6 2 1
Direct
0.500 0.338 0.338 Ge
0.500 0.000 0.662 Ge
0.500 0.662 0.000 Ge
0.500 0.000 0.338 Ge
0.500 0.338 0.000 Ge
0.500 0.662 0.662 Ge
0.000 0.333 0.667 Pu
0.000 0.667 0.333 Pu
0.000 0.000 0.000 Sr
```



- The lowest DFT formation energy belongs to which entry?
  number 2